No. 1
A relaxed structure of Na3Cd4In2, computed with PBE.

Cell: 5.1270 6.1206 9.5162 Å, 119.42 90.00 114.76°
Positions (direct):
Na: 0.6653 0.3306 0.6683
Na: 0.0000 0.0000 0.0000
Na: 0.3347 0.6694 0.3317
Cd: 0.7221 0.4443 0.0545
Cd: 0.2779 0.5557 0.9455
Cd: 0.9443 0.8887 0.6088
Cd: 0.0557 0.1113 0.3912
In: 0.6130 0.2261 0.2784
In: 0.3870 0.7739 0.7216

Output
Space group: C2/m
ΔE to the lowest computed polymorph in meV per atom: 2.9



No. 2
A relaxed structure of PuNbH, computed with PBE.

Cell: 3.0757 3.0757 5.5799 Å, 90.00 90.00 120.00°
Each line ends with the local moment (μB).
Positions (direct):
H: 0.3333 0.6667 0.7156  0.00
Nb: 0.0000 0.0000 0.9036  -0.05
Pu: 0.6667 0.3333 0.3808  5.21

Output
Space group: P3m1
ΔE to the lowest computed polymorph in meV per atom: 49.4



No. 3
A relaxed structure of LaCrCo2, computed with PBE.

Cell: 4.6665 4.6665 8.1039 Å, 73.27 73.27 90.00°
Each line ends with the local moment (μB).
Positions (direct):
Cr: 0.5000 0.5000 0.0000  1.62
Cr: 0.2500 0.7500 0.5000  1.62
Co: 0.3752 0.1250 0.2500  0.32
Co: 0.3748 0.6250 0.2500  0.32
Co: 0.3750 0.6248 0.7500  0.20
Co: 0.8750 0.6252 0.7500  0.23
La: 0.0000 0.0000 0.0000  -0.03
La: 0.7500 0.2500 0.5000  -0.03

Output
DFT total energy in eV/atom: -6.754
Space group: I4_1/amd



No. 4
A relaxed structure of DyHo2N2, computed with PBE.

Cell: 4.9096 6.0588 7.7493 Å, 59.73 71.53 66.10°
Positions (direct):
Dy: 0.3425 0.2225 0.0924
Dy: 0.6575 0.7775 0.9076
Ho: 0.6631 0.2470 0.4268
Ho: 0.3369 0.7530 0.5732
Ho: 0.0065 0.7214 0.2657
Ho: 0.9935 0.2786 0.7343
N: 0.1654 0.2513 0.4179
N: 0.8346 0.7487 0.5821
N: 0.5013 0.2486 0.7489
N: 0.4987 0.7514 0.2511

Output
Space group: C2/m
Formation energy from raw total energies in meV per atom: -1338



No. 5
A relaxed structure of DyHoMgAg, computed with PBE.

Cell: 3.7168 3.7168 7.2989 Å, 90.00 90.00 90.00°
Positions (direct):
Dy: 0.0000 0.0000 0.3659
Ho: 0.0000 0.0000 0.8475
Mg: 0.5000 0.5000 0.1055
Ag: 0.5000 0.5000 0.6090

Output
Space group: P4mm
ΔE to the lowest computed polymorph in meV per atom: 0.0



No. 6
A relaxed structure of Nd3Ga3Co2, computed with PBE.

Cell: 3.9116 5.9388 15.4484 Å, 90.00 90.00 109.23°
Positions (direct):
Nd: 0.9364 0.8727 0.3958
Nd: 0.0636 0.1273 0.8958
Nd: 0.9364 0.8727 0.1042
Nd: 0.0636 0.1273 0.6042
Nd: 0.6617 0.3234 0.2500
Nd: 0.3383 0.6766 0.7500
Ga: 0.6633 0.3267 0.4628
Ga: 0.3367 0.6733 0.9628
Ga: 0.6633 0.3267 0.0372
Ga: 0.3367 0.6733 0.5372
Ga: 0.3699 0.7398 0.2500
Ga: 0.6301 0.2602 0.7500
Co: 0.7643 0.5285 0.8855
Co: 0.2357 0.4715 0.3855
Co: 0.7643 0.5285 0.6145
Co: 0.2357 0.4715 0.1145

Output
DFT total energy in eV/atom: -5.139
Space group: Cmcm



No. 7
A relaxed structure of Mg5Be4, computed with PBE.

Cell: 7.7168 7.7168 5.5313 Å, 90.00 90.00 60.00°
Positions (direct):
Be: 0.0000 0.0000 0.0000
Be: 0.0000 0.0000 0.5000
Be: 0.6432 0.3568 0.2500
Be: 0.0000 0.6432 0.2500
Be: 0.3568 0.0000 0.2500
Be: 0.3568 0.6432 0.7500
Be: 0.0000 0.3568 0.7500
Be: 0.6432 0.0000 0.7500
Mg: 0.2980 0.7020 0.2500
Mg: 0.0000 0.2980 0.2500
Mg: 0.7020 0.0000 0.2500
Mg: 0.7020 0.2980 0.7500
Mg: 0.0000 0.7020 0.7500
Mg: 0.2980 0.0000 0.7500
Mg: 0.3333 0.3333 0.0000
Mg: 0.6667 0.6667 0.5000
Mg: 0.6667 0.6667 0.0000
Mg: 0.3333 0.3333 0.5000

Output
Space group: P6_3/mcm
ΔE to the lowest computed polymorph in meV per atom: 53.5



No. 8
A relaxed structure of OsRu2W2, computed with PBE.

Cell: 7.3200 7.3200 5.7731 Å, 90.00 90.00 90.00°
Positions (direct):
Os: 0.5000 0.5000 0.2224
Os: 0.0000 0.0000 0.7224
Os: 0.5000 0.5000 0.7776
Os: 0.0000 0.0000 0.2776
Ru: 0.3706 0.8706 0.2500
Ru: 0.6294 0.1294 0.2500
Ru: 0.1294 0.3706 0.7500
Ru: 0.8706 0.6294 0.7500
Ru: 0.8706 0.6294 0.2500
Ru: 0.1294 0.3706 0.2500
Ru: 0.3706 0.8706 0.7500
Ru: 0.6294 0.1294 0.7500
W: 0.6600 0.8187 0.5000
W: 0.3400 0.1813 0.5000
W: 0.8400 0.3187 0.0000
W: 0.1600 0.6813 0.0000
W: 0.8187 0.3400 0.5000
W: 0.1813 0.6600 0.5000
W: 0.3187 0.1600 0.0000
W: 0.6813 0.8400 0.0000

Output
Space group: P4/mnc
ΔE to the lowest computed polymorph in meV per atom: 0.0



No. 9
A relaxed structure of Nd2SmGeN4, computed with PBE.

Cell: 3.6120 6.1137 12.1181 Å, 90.00 90.00 107.18°
Positions (direct):
Nd: 0.3693 0.7385 0.5448
Nd: 0.6307 0.2615 0.0448
Nd: 0.6307 0.2615 0.4552
Nd: 0.3693 0.7385 0.9552
Sm: 0.1035 0.2069 0.7500
Sm: 0.8965 0.7931 0.2500
Ge: 0.8352 0.6703 0.7500
Ge: 0.1648 0.3297 0.2500
N: 0.2753 0.5506 0.1342
N: 0.7247 0.4494 0.6342
N: 0.7247 0.4494 0.8658
N: 0.2753 0.5506 0.3658
N: 0.0000 0.0000 0.5000
N: 0.0000 0.0000 0.0000
N: 0.4225 0.8450 0.7500
N: 0.5775 0.1550 0.2500

Output
Space group: Cmcm
Formation energy from raw total energies in meV per atom: -884



No. 10
A relaxed structure of HfMn2TlMo, computed with PBE.

Cell: 4.3924 5.1935 4.3924 Å, 90.00 90.00 90.00°
Positions (direct):
Tl: 0.0000 0.5000 0.0000
Mn: 0.0000 0.0000 0.5000
Mn: 0.5000 0.0000 0.0000
Hf: 0.5000 0.5000 0.5000
Mo: 0.0000 0.0000 0.0000

Output
DFT total energy in eV/atom: -6.925
Space group: P4/mmm



No. 11
A relaxed structure of MnAsW, computed with PBE.

Cell: 4.0918 4.0918 2.8517 Å, 90.00 90.00 120.00°
Positions (direct):
As: 0.0000 0.0000 0.1666
Mn: 0.6667 0.3333 0.1666
W: 0.3333 0.6667 0.6668

Output
Space group: P-6m2
ΔE to the lowest computed polymorph in meV per atom: 176.5



No. 12
A relaxed structure of Th2In8Cu, computed with PBE.

Cell: 4.7545 4.7545 12.4101 Å, 90.00 90.00 90.00°
Positions (direct):
Cu: 0.0000 0.0000 0.0000
Th: 0.0000 0.0000 0.3106
Th: 0.0000 0.0000 0.6894
In: 0.0000 0.5000 0.5000
In: 0.5000 0.0000 0.5000
In: 0.5000 0.5000 0.3093
In: 0.5000 0.5000 0.6907
In: 0.0000 0.5000 0.1215
In: 0.5000 0.0000 0.1215
In: 0.0000 0.5000 0.8785
In: 0.5000 0.0000 0.8785

Output
DFT total energy in eV/atom: -3.952
Space group: P4/mmm



No. 13
A relaxed structure of TiCdP2O, computed with PBE.

Cell: 4.9911 4.9911 3.6816 Å, 90.00 90.00 90.00°
Positions (direct):
P: 0.0000 0.5000 0.0000
P: 0.5000 0.0000 0.0000
Ti: 0.0000 0.0000 0.0000
O: 0.0000 0.0000 0.5000
Cd: 0.5000 0.5000 0.5000

Output
Space group: P4/mmm
ΔE to the lowest computed polymorph in meV per atom: 0.0
Formation energy from raw total energies in meV per atom: -518



No. 14
A relaxed structure of Dy4TeSe5, computed with PBE.

Cell: 4.1576 8.6022 9.2352 Å, 105.99 103.01 90.00°
Positions (direct):
Dy: 0.3159 0.8758 0.6319
Dy: 0.9944 0.7262 0.9888
Dy: 0.6841 0.1242 0.3681
Dy: 0.0056 0.2738 0.0112
Te: 0.5000 0.0000 0.0000
Se: 0.8360 0.6701 0.6721
Se: 0.8400 0.1277 0.6800
Se: 0.1600 0.8723 0.3200
Se: 0.5000 0.5000 0.0000
Se: 0.1640 0.3299 0.3279

Output
Space group: C2/m
Formation energy from raw total energies in meV per atom: -1725



No. 15
A relaxed structure of Sm2HoI, computed with PBE.

Cell: 3.6273 3.6273 11.9902 Å, 81.30 81.30 60.00°
Each line ends with the local moment (μB).
Positions (direct):
I: 0.5000 0.5000 0.5000  0.00
Ho: 0.0000 0.0000 0.0000  0.38
Sm: 0.0950 0.0950 0.7150  0.10
Sm: 0.9050 0.9050 0.2850  0.10

Output
Space group: R-3m
ΔE to the lowest computed polymorph in meV per atom: 306.1
Formation energy from raw total energies in meV per atom: -68



No. 16
A relaxed structure of SrPm2Dy, computed with PBE.

Cell: 5.9387 5.9387 5.9387 Å, 60.00 60.00 60.00°
Positions (direct):
Sr: 0.0000 0.0000 0.0000
Pm: 0.2500 0.2500 0.2500
Pm: 0.7500 0.7500 0.7500
Dy: 0.5000 0.5000 0.5000

Output
Space group: Fm-3m
ΔE to the lowest computed polymorph in meV per atom: 132.7



No. 17
A relaxed structure of ZrSc2Ni2, computed with PBE.

Cell: 7.0634 7.0634 3.5937 Å, 90.00 90.00 90.00°
Positions (direct):
Sc: 0.1641 0.6641 0.5000
Sc: 0.6641 0.8359 0.5000
Sc: 0.8359 0.3359 0.5000
Sc: 0.3359 0.1641 0.5000
Ni: 0.3717 0.8717 0.0000
Ni: 0.8717 0.6283 0.0000
Ni: 0.6283 0.1283 0.0000
Ni: 0.1283 0.3717 0.0000
Zr: 0.0000 0.0000 0.0000
Zr: 0.5000 0.5000 0.0000

Output
Space group: P4/mbm
ΔE to the lowest computed polymorph in meV per atom: 0.0



No. 18
A relaxed structure of MnCdBr2, computed with PBE.

Cell: 3.3925 3.3911 9.8280 Å, 90.00 90.00 90.00°
Each line ends with the local moment (μB).
Positions (direct):
Br: 0.0000 0.0000 0.9170  0.10
Br: 0.0000 0.0000 0.5830  0.10
Cd: 0.5000 0.5000 0.2500  0.00
Mn: 0.5000 0.5000 0.7500  4.31

Output
Space group: P4/mmm
ΔE to the lowest computed polymorph in meV per atom: 242.9
Formation energy from raw total energies in meV per atom: -210



No. 19
A relaxed structure of Ce4In2Co, computed with PBE.

Cell: 4.9120 4.9120 9.1353 Å, 105.60 105.60 90.00°
Each line ends with the local moment (μB).
Positions (direct):
Co: 0.0000 0.0000 0.0000  -0.03
Ce: 0.8243 0.8243 0.6487  0.78
Ce: 0.1757 0.1757 0.3513  0.78
Ce: 0.0000 0.5000 0.0000  -0.03
Ce: 0.5000 0.0000 0.0000  -0.03
In: 0.6362 0.6362 0.2724  0.00
In: 0.3638 0.3638 0.7276  0.00

Output
DFT total energy in eV/atom: -5.369
Space group: I4/mmm



No. 20
A relaxed structure of ScTiCoRu, computed with PBE.

Cell: 3.1043 3.1043 6.1764 Å, 90.00 90.00 90.00°
Each line ends with the local moment (μB).
Positions (direct):
Sc: 0.0000 0.0000 0.3627  -0.01
Ti: 0.0000 0.0000 0.8523  -0.03
Co: 0.5000 0.5000 0.6247  0.12
Ru: 0.5000 0.5000 0.0883  0.00

Output
DFT total energy in eV/atom: -8.205
Space group: P4mm



no.,density (g cm⁻³),M_tot (μB/atom)
1,5.4,0.0000
2,12.3,1.7814
3,6.4,0.5315
4,9.6,0.0000
5,7.6,0.0000
6,7.4,0.0000
7,1.8,0.0000
8,16.3,0.0000
9,7.4,0.0000
10,9.8,0.0000
11,12.6,0.0000
12,8.6,0.0000
13,4.3,0.0000
14,6.3,0.0000
15,7.3,0.2385
16,6.1,0.0002
17,5.5,0.0000
18,4.8,1.2075
19,6.9,0.2335
20,7.1,0.0143